(1)
Compound: KAs2BrF
Source: the Alexandria database
Functional: GGA-PBE
Structure: relaxed

```
KAs2BrF
1.0
-2.964 -2.888 1.563
0.546 -2.510 -3.602
5.177 -3.549 3.259
As K Br F
2 1 1 1
Cartesian
0.273 -1.255 -1.801 As
-1.482 -1.444 0.782 As
1.380 -4.474 0.610 K
2.589 -1.775 1.629 Br
0.000 0.000 0.000 F
```

Properties
- E above lowest polymorph: 0.000 eV per atom
- Crystal system: tetragonal
- Space group: P4/mmm, No. 123
- Formation energy (no corrections): -0.37 eV/atom

---

(2)
Compound: KAs2BrF
Source: the Alexandria database
Functional: GGA-PBE
Structure: relaxed

```
KAs2BrF
1.0
5.133 0.000 0.000
0.000 6.040 0.000
0.000 0.000 5.133
As K Br F
2 1 1 1
Cartesian
0.000 0.000 2.566 As
2.566 0.000 0.000 As
2.566 3.020 2.566 K
0.000 0.000 0.000 Br
0.000 3.020 0.000 F
```

Properties
- E above lowest polymorph: 0.379 eV per atom
- Crystal system: tetragonal
- Space group: P4/mmm, No. 123
- Formation energy (no corrections): 0.01 eV/atom

---

(3)
Compound: K3AsBr2F6
Source: the Alexandria database
Functional: GGA-PBE
Structure: relaxed

```
K3AsBr2F6
1.0
5.017 0.000 0.170
0.000 7.669 0.000
-0.608 -3.834 7.869
K As Br F
3 1 2 6
Cartesian
0.000 3.834 0.000 K
2.204 1.917 4.019 K
2.204 -1.917 4.019 K
2.508 0.000 0.085 As
4.771 3.834 3.275 Br
-0.363 0.000 4.764 Br
3.651 1.271 0.561 F
0.758 2.564 7.478 F
2.555 3.834 6.289 F
1.853 0.000 1.750 F
0.758 -2.564 7.478 F
3.651 6.398 0.561 F
```

Properties
- Crystal system: monoclinic
- Space group: C2/m, No. 12
- Formation energy (no corrections): -2.16 eV/atom

---

(4)
Compound: LaAsBr2F
Source: the Alexandria database
Functional: GGA-PBE
Structure: relaxed

```
LaAsBr2F
1.0
5.751 0.000 0.000
0.000 5.751 0.000
0.000 0.000 6.285
As F Br La
1 1 2 1
Cartesian
0.000 0.000 3.142 As
2.875 2.875 3.142 F
0.000 2.875 0.000 Br
2.875 0.000 0.000 Br
0.000 0.000 0.000 La
```

Properties
- E above lowest polymorph: 0.194 eV per atom
- Crystal system: tetragonal
- Space group: P4/mmm, No. 123
- Formation energy (no corrections): -0.78 eV/atom

---

Number 1: energy -15.8 eV/f.u., size of the total moment 0.00 μB per formula unit, DOS(E_F) 3.5 states/eV per cell. Number 2: energy -13.9 eV/f.u., size of the total moment 2.39 μB per formula unit, DOS(E_F) 3.8 states/eV per cell. Number 3: energy -48.4 eV/f.u., size of the total moment 0.00 μB per formula unit, DOS(E_F) 0.0 states/eV per cell. Number 4: energy -18.7 eV/f.u., size of the total moment 1.79 μB per formula unit, DOS(E_F) 10.3 states/eV per cell.